Entry 1:
A plane-wave DFT calculation with SCAN was carried out for a crystal of Li3VO3F2 relaxed with PBEsol.

Space group: Cc
Energy relative to the elements, uncorrected in meV/atom: -2734
Crystal system: monoclinic
Size of the total moment in μB per formula unit: 0.0
Energy relative to the lowest polymorph listed for this composition in kJ/mol of atoms: 0.0

abc: 5.2523 5.2523 7.9221
angles: 95.80 95.80 64.76
With the nearest neighbours (Å) after each atom.
Element x y z (fractional)
Li: 0.0142 0.3830 0.3648  2 F 1.93-1.97, 2 O 1.94-1.97
Li: 0.1626 0.8374 0.5000  2 F 1.95-2.12, 3 O 1.97-2.05
Li: 0.2129 0.5613 0.8050  2 F 1.95-2.02, 3 O 1.95-2.08
Li: 0.3830 0.0142 0.8648  2 F 1.93-1.97, 2 O 1.94-1.97
Li: 0.5613 0.2129 0.3050  2 F 1.95-2.02, 3 O 1.95-2.08
Li: 0.8374 0.1626 0.0000  2 F 1.95-2.12, 3 O 1.97-2.05
V: 0.4159 0.7615 0.1803  3 O 1.68-1.70
V: 0.7615 0.4159 0.6803  3 O 1.68-1.70
O: 0.0085 0.3314 0.8455  1 V 1.70
O: 0.1906 0.8147 0.0066  1 V 1.68
O: 0.3314 0.0085 0.3455  1 V 1.70
O: 0.4535 0.7113 0.6882  1 V 1.70
O: 0.7113 0.4535 0.1882  1 V 1.70
O: 0.8147 0.1906 0.5066  1 V 1.68
F: 0.2311 0.5730 0.3010  3 Li 1.93-1.95, 1 V 2.01
F: 0.5730 0.2311 0.8010  3 Li 1.93-1.95, 1 V 2.01
F: 0.5996 0.9682 0.0870  1 V 1.96, 3 Li 1.97-2.12
F: 0.9682 0.5996 0.5870  1 V 1.96, 3 Li 1.97-2.12

***

Entry 2:
A plane-wave DFT calculation with SCAN was carried out for a crystal of IrRu2Pb relaxed with PBEsol.

Energy of formation in eV per atom: 0.774
Space group: Immm
Crystal system: orthorhombic
Size of the total moment in μB per formula unit: 0.0

abc: 5.4603 5.4603 5.4603
angles: 149.81 127.74 61.55
With the nearest neighbours (Å) after each atom.
Element x y z (fractional)
Ir: 0.0000 0.0000 0.0000  4 Ru 2.64, 4 Pb 2.79, 2 Ir 2.84
Ru: 0.2367 0.7367 0.5000  2 Ir 2.64, 6 Ru 2.81-2.84, 2 Pb 2.85
Ru: 0.7633 0.2633 0.5000  2 Ir 2.64, 6 Ru 2.81-2.84, 2 Pb 2.85
Pb: 0.5000 0.5000 0.0000  4 Ir 2.79, 2 Pb 2.84, 4 Ru 2.85